(1)
Computed, not measured: Ta4CoPN2 after structural relaxation at the PBE level of DFT.

Summary:
The crystal system is hexagonal. The calculation puts the final energy at -10.174 eV per atom.

Cell: 3.1685 3.1685 12.0982 Å, 90.00 90.00 120.00°
Closest atoms and distances in Å follow each position.
Fractional positions:
Ta (0.0000, 0.0000, 0.1451)  3 N 2.23
Ta (0.0000, 0.0000, 0.8549)  3 N 2.23
Ta (0.3333, 0.6667, 0.3476)  3 N 2.18
Ta (0.3333, 0.6667, 0.6524)  3 N 2.18
Co (0.0000, 0.0000, 0.5000)  6 Ta 2.60
P (0.3333, 0.6667, 0.0000)  6 Ta 2.54
N (0.6667, 0.3333, 0.2502)  6 Ta 2.18-2.23
N (0.6667, 0.3333, 0.7498)  6 Ta 2.18-2.23

***

(2)
Computed, not measured: KBiPd after structural relaxation at the PBE level of DFT.

Summary:
The crystal system is monoclinic. The value obtained for the excess energy over the best structure of this formula in the dataset is 0.0 meV per atom.

Cell: 7.0595 7.1691 8.6972 Å, 90.00 122.09 90.00°
Closest atoms and distances in Å follow each position.
Fractional positions:
K (0.2014, 0.1170, 0.4164)  1 Pd 3.16
K (0.2014, 0.3830, 0.9164)  1 Pd 3.16
K (0.7986, 0.6170, 0.0836)  1 Pd 3.16
K (0.7986, 0.8830, 0.5836)  1 Pd 3.16
Bi (0.2578, 0.6145, 0.5757)  3 Pd 2.71-2.74
Bi (0.2578, 0.8855, 0.0757)  3 Pd 2.71-2.74
Bi (0.7422, 0.1145, 0.9243)  3 Pd 2.71-2.74
Bi (0.7422, 0.3855, 0.4243)  3 Pd 2.71-2.74
Pd (0.3920, 0.6151, 0.3355)  3 Bi 2.71-2.74, 1 Pd 2.93
Pd (0.3920, 0.8849, 0.8355)  3 Bi 2.71-2.74, 1 Pd 2.93
Pd (0.6080, 0.1151, 0.1645)  3 Bi 2.71-2.74, 1 Pd 2.93
Pd (0.6080, 0.3849, 0.6645)  3 Bi 2.71-2.74, 1 Pd 2.93

***

(3)
Computed, not measured: Pr3Y3Te2Ir after structural relaxation at the PBE level of DFT.

Summary:
The crystal system is hexagonal. The value obtained for the excess energy over the best structure of this formula in the dataset is 0.0 meV per atom.

Cell: 8.5128 8.5128 4.0968 Å, 90.00 90.00 120.00°
Closest atoms and distances in Å follow each position.
Fractional positions:
Pr (0.0000, 0.4026, 0.0000)  4 Te 3.31, 1 Ir 3.43, 6 Y 3.62-3.69
Pr (0.4026, 0.0000, 0.0000)  4 Te 3.31, 1 Ir 3.43, 6 Y 3.62-3.69
Pr (0.5974, 0.5974, 0.0000)  4 Te 3.31, 1 Ir 3.43, 6 Y 3.62-3.69
Y (0.0000, 0.7629, 0.5000)  2 Ir 2.88
Y (0.2371, 0.2371, 0.5000)  2 Ir 2.88
Y (0.7629, 0.0000, 0.5000)  2 Ir 2.88
Te (0.3333, 0.6667, 0.5000)  6 Pr 3.31, 3 Y 3.32
Te (0.6667, 0.3333, 0.5000)  6 Pr 3.31, 3 Y 3.32
Ir (0.0000, 0.0000, 0.0000)  6 Y 2.88

***

(4)
Computed, not measured: Hf4Ta2Sb3C3 after structural relaxation at the PBE level of DFT.

Summary:
The crystal system is monoclinic. The calculation puts the final energy at -9.241 eV per atom.

Cell: 5.9163 5.9163 13.8187 Å, 102.34 102.34 60.01°
Closest atoms and distances in Å follow each position.
Fractional positions:
Hf (0.0327, 0.1934, 0.0889)  3 C 2.30-2.31
Hf (0.1340, 0.3034, 0.4112)  3 C 2.30-2.31
Hf (0.1934, 0.0327, 0.5889)  3 C 2.30-2.31
Hf (0.3034, 0.1340, 0.9112)  3 C 2.30-2.31
Hf (0.6966, 0.8660, 0.0888)  3 C 2.30-2.31
Hf (0.8066, 0.9673, 0.4111)  3 C 2.30-2.31
Hf (0.8660, 0.6966, 0.5888)  3 C 2.30-2.31
Hf (0.9673, 0.8066, 0.9111)  3 C 2.30-2.31
Ta (0.3564, 0.5270, 0.0804)  3 C 2.23-2.25
Ta (0.4730, 0.6436, 0.4196)  3 C 2.23-2.25
Ta (0.5270, 0.3564, 0.5804)  3 C 2.23-2.25
Ta (0.6436, 0.4730, 0.9196)  3 C 2.23-2.25
Sb (0.0941, 0.9059, 0.2500)  4 Hf 2.94, 2 Ta 2.96
Sb (0.2622, 0.4158, 0.7504)  4 Hf 2.94-2.96, 2 Ta 2.96-2.97
Sb (0.4158, 0.2622, 0.2504)  4 Hf 2.94-2.96, 2 Ta 2.96-2.97
Sb (0.5842, 0.7378, 0.7496)  4 Hf 2.94-2.96, 2 Ta 2.96-2.97
Sb (0.7378, 0.5842, 0.2496)  4 Hf 2.94-2.96, 2 Ta 2.96-2.97
Sb (0.9059, 0.0941, 0.7500)  4 Hf 2.94, 2 Ta 2.96
C (0.0000, 0.5000, 0.0000)  2 Ta 2.23, 4 Hf 2.31
C (0.1697, 0.6650, 0.5000)  2 Ta 2.24-2.25, 4 Hf 2.30-2.31
C (0.3350, 0.8303, 0.0000)  2 Ta 2.24-2.25, 4 Hf 2.30-2.31
C (0.5000, 0.0000, 0.5000)  2 Ta 2.23, 4 Hf 2.31
C (0.6650, 0.1697, 0.0000)  2 Ta 2.24-2.25, 4 Hf 2.30-2.31
C (0.8303, 0.3350, 0.5000)  2 Ta 2.24-2.25, 4 Hf 2.30-2.31